This record from Alexandria describes a relaxed Y2Ga6Ni crystal. The functional is PBE.

Unit cell a=4.145 b=3.723 c=11.776 alpha=90.00 beta=100.14 gamma=90.00
Fractional coordinates of all 9 atoms:
1 Y 0.328 0.000 0.655
2 Y 0.997 0.000 0.994
3 Ga 0.711 0.000 0.422
4 Ga 0.218 0.500 0.435
5 Ga 0.107 0.500 0.214
6 Ga 0.597 0.000 0.194
7 Ga 0.447 0.500 0.894
8 Ga 0.884 0.500 0.769
9 Ni 0.780 0.500 0.561

Calculated values
Size of the total moment, μB per cell: 0.00
Energy of formation, eV/f.u.: -3.7